i | Os2Cl after structural relaxation. Source: Alexandria, functional GGA-PBE.

Cell lengths 4.0898, 4.0898, 6.1720 Å; angles 90.00, 90.00, 120.00 degrees
Positions (direct):
Os 0.0000 0.0000 0.0000
Os 0.0000 0.0000 0.5000
Os 0.3333 0.6667 0.7500
Os 0.6667 0.3333 0.2500
Cl 0.3333 0.6667 0.2500
Cl 0.6667 0.3333 0.7500

Space group: P6_3/mmc, No. 194

ii | Os2Cl after structural relaxation. Source: Alexandria, functional GGA-PBE.

Cell lengths 2.8603, 2.8603, 6.3906 Å; angles 90.00, 90.00, 120.00 degrees
Positions (direct):
Cl 0.0000 0.0000 0.0000
Os 0.3333 0.6667 0.6548
Os 0.6667 0.3333 0.3452

Space group: P-3m1, No. 164

iii | Os2Cl after structural relaxation. Source: Alexandria, functional GGA-PBE.

Cell lengths 4.8945, 4.8945, 4.8945 Å; angles 106.86, 106.86, 114.83 degrees
Positions (direct):
Os 0.1525 0.3475 0.5000
Os 0.8475 0.6525 0.5000
Os 0.6525 0.1525 0.8050
Os 0.3475 0.8475 0.1950
Cl 0.7500 0.7500 0.0000
Cl 0.2500 0.2500 0.0000

Space group: I4/mcm, No. 140

iv | Os2Cl after structural relaxation. Source: Alexandria, functional GGA-PBE.

Cell lengths 4.6415, 4.6415, 10.3290 Å; angles 87.11, 87.11, 35.59 degrees
Positions (direct):
Os 0.5898 0.5898 0.8361
Os 0.1316 0.1316 0.0419
Os 0.8684 0.8684 0.9581
Os 0.4102 0.4102 0.1639
Cl 0.8810 0.8810 0.3533
Cl 0.1190 0.1190 0.6467

Space group: C2/m, No. 12

Most stable: iv. Least stable: iii.

i | Os2Cl after structural relaxation. Source: Alexandria, functional GGA-PBE.

Cell lengths 6.1355, 6.1355, 6.1355 Å; angles 152.96, 152.96, 38.62 degrees
Positions (direct):
Cl 0.5000 0.5000 0.0000
Os 0.1820 0.1820 0.0000
Os 0.8180 0.8180 0.0000

Space group: I4/mmm, No. 139

ii | Os2Cl after structural relaxation. Source: Alexandria, functional GGA-PBE.

Cell lengths 13.0163, 13.0163, 13.0163 Å; angles 167.72, 167.72, 17.40 degrees
Positions (direct):
Os 0.5860 0.5860 0.0000
Os 0.1640 0.6640 0.5000
Os 0.4140 0.4140 0.0000
Os 0.3360 0.8360 0.5000
Cl 0.0000 0.0000 0.0000
Cl 0.7500 0.2500 0.5000

Space group: I4_1/amd, No. 141

iii | Os2Cl after structural relaxation. Source: Alexandria, functional GGA-PBE.

Cell lengths 4.0546, 4.0546, 2.8565 Å; angles 90.00, 90.00, 90.00 degrees
Positions (direct):
Cl 0.0000 0.0000 0.0000
Os 0.0000 0.5000 0.5000
Os 0.5000 0.0000 0.5000

Space group: P4/mmm, No. 123

Most stable: i. Least stable: iii.

i | Os5Cl after structural relaxation. Source: Alexandria, functional GGA-PBE.

Cell lengths 2.7794, 2.7794, 11.5325 Å; angles 90.00, 90.00, 90.00 degrees
Positions (direct):
Os 0.0000 0.0000 0.8215
Os 0.0000 0.0000 0.1785
Os 0.5000 0.5000 0.6689
Os 0.5000 0.5000 0.3311
Os 0.0000 0.0000 0.5000
Cl 0.5000 0.5000 0.0000

Space group: P4/mmm, No. 123

ii | Os5Cl after structural relaxation. Source: Alexandria, functional GGA-PBE.

Cell lengths 5.0710, 5.0710, 4.5816 Å; angles 90.00, 90.00, 120.00 degrees
Positions (direct):
Os 0.3333 0.6667 0.0000
Os 0.6667 0.3333 0.0000
Os 0.5000 0.0000 0.5000
Os 0.0000 0.5000 0.5000
Os 0.5000 0.5000 0.5000
Cl 0.0000 0.0000 0.0000

Space group: P6/mmm, No. 191

iii | Os5Cl after structural relaxation. Source: Alexandria, functional GGA-PBE.

Cell lengths 5.2346, 5.2346, 6.5355 Å; angles 78.34, 78.34, 30.69 degrees
Positions (direct):
Os 0.3225 0.3225 0.3448
Os 0.6802 0.6802 0.6492
Os 0.6172 0.6172 0.2665
Os 0.9521 0.9521 0.5999
Os 0.2846 0.2846 0.9191
Cl 0.9766 0.9766 0.0539

Space group: Cm, No. 8

Most stable: i. Least stable: ii.

i | OsCl5 after structural relaxation. Source: Alexandria, functional GGA-PBE.

Cell lengths 4.9945, 4.9945, 7.8539 Å; angles 90.00, 90.00, 120.00 degrees
Site moments in Bohr magnetons follow the coordinates.
Positions (direct):
Os 0.0000 0.0000 0.0000  3.05
Cl 0.3333 0.6667 0.0000  0.12
Cl 0.6667 0.3333 0.0000  0.12
Cl 0.5000 0.0000 0.5000  0.00
Cl 0.0000 0.5000 0.5000  0.00
Cl 0.5000 0.5000 0.5000  0.00

Space group: P6/mmm, No. 191

ii | OsCl5 after structural relaxation. Source: Alexandria, functional GGA-PBE.

Cell lengths 7.6081, 7.6081, 7.2481 Å; angles 89.99, 89.99, 22.93 degrees
Site moments in Bohr magnetons follow the coordinates.
Positions (direct):
Os 0.2529 0.2529 0.5172  0.18
Cl 0.0352 0.0352 0.9805  -0.18
Cl 0.3593 0.3593 0.2945  0.00
Cl 0.6603 0.6603 0.7123  0.00
Cl 0.6721 0.6721 0.3150  0.01
Cl 0.8535 0.8535 0.6806  0.01

Space group: Cm, No. 8

Most stable: ii. Least stable: i.

i | POsCl after structural relaxation. Source: Alexandria, functional GGA-PBE.

Cell lengths 3.6062, 3.6062, 6.0676 Å; angles 90.00, 90.00, 120.00 degrees
Positions (direct):
Cl 0.0000 0.0000 0.1043
Os 0.6667 0.3333 0.3814
P 0.3333 0.6667 0.5143

Space group: P3m1, No. 156

ii | POsCl after structural relaxation. Source: Alexandria, functional GGA-PBE.

Cell lengths 6.4154, 6.4154, 6.4154 Å; angles 153.30, 153.30, 38.11 degrees
Positions (direct):
Cl 0.9694 0.9694 0.0000
Os 0.3163 0.3163 0.0000
P 0.7143 0.7143 0.0000

Space group: I4mm, No. 107

Most stable: i. Least stable: ii.

i | POsCl after structural relaxation. Source: Alexandria, functional GGA-PBE.

Cell lengths 4.1114, 4.1114, 4.1114 Å; angles 60.00, 60.00, 60.00 degrees
Positions (direct):
Cl 0.5000 0.5000 0.5000
Os 0.7500 0.7500 0.7500
P 0.0000 0.0000 0.0000

Space group: F-43m, No. 216

ii | POsCl after structural relaxation. Source: Alexandria, functional GGA-PBE.

Cell lengths 4.1763, 4.1763, 4.1763 Å; angles 60.00, 60.00, 60.00 degrees
Site moments in Bohr magnetons follow the coordinates.
Positions (direct):
Cl 0.0000 0.0000 0.0000  0.11
Os 0.5000 0.5000 0.5000  0.66
P 0.7500 0.7500 0.7500  -0.01

Space group: F-43m, No. 216

Most stable: i. Least stable: ii.